[1]
Here is a geometry-optimized VGeMo structure from Alexandria. Energies are from PBE.

Lattice parameters (Å, degrees): 4.317 4.317 2.736 90.00 90.00 120.00
Fractional coordinates of all 3 atoms:
V  0.000  0.000  0.000
Ge  0.667  0.333  0.308
Mo  0.333  0.667  0.709

Summary:
M_tot, μB per cell: 0.00
Crystal system: trigonal
SG: P3m1, No. 156
Calculated total energy, eV per atom: -8.2183

***

[2]
Here is a geometry-optimized Ta4Au3 structure from Alexandria. Energies are from PBE.

Lattice parameters (Å, degrees): 10.892 10.892 10.892 161.79 161.79 25.86
Fractional coordinates of all 7 atoms:
Ta  0.072  0.072  0.000
Ta  0.357  0.357  0.000
Ta  0.643  0.643  0.000
Ta  0.928  0.928  0.000
Au  0.214  0.214  0.000
Au  0.500  0.500  0.000
Au  0.786  0.786  0.000

Summary:
M_tot, μB per cell: 0.00
Crystal system: tetragonal
SG: I4/mmm, No. 139
Calculated total energy, eV per atom: -8.1776

***

no.,ΔE_f (eV per atom)
1,-0.029
2,0.000